[1]
Material: In4MoPb
Method: DFT, GGA-PBE
State: relaxed

Structure (POSCAR):
```
In4MoPb
1.0
0.000 4.149 4.149
4.149 0.000 4.149
4.149 4.149 0.000
In Mo Pb
4 1 1
Direct
0.376 0.376 0.873
0.376 0.873 0.376
0.376 0.376 0.376
0.873 0.376 0.376
0.750 0.750 0.750
0.000 0.000 0.000
```

Values from the calculation:
Volume in Å³ per atom: 23.81
DFT formation energy in eV per atom: 0.6062
Space group: No. 216


[2]
Material: LiLuTlNi
Method: DFT, GGA-PBE
State: relaxed

Structure (POSCAR):
```
LiLuTlNi
1.0
-2.048 -4.163 0.369
0.422 -2.461 3.927
-3.670 -0.547 2.809
Ni Li Tl Lu
1 1 1 1
Direct
0.250 0.250 0.250
0.750 0.750 0.750
0.500 0.500 0.500
0.000 0.000 0.000
```

Values from the calculation:
Volume in Å³ per atom: 17.82
DFT formation energy in eV per atom: -0.2535
Space group: No. 216


[3]
Material: PaTaV2
Method: DFT, GGA-PBE
State: relaxed

Structure (POSCAR):
```
PaTaV2
1.0
3.249 0.000 0.000
0.000 3.249 0.000
0.000 0.000 6.515
Ta V Pa
1 2 1
Direct
0.500 0.500 0.000
0.000 0.000 0.249
0.000 0.000 0.751
0.500 0.500 0.500
```

Values from the calculation:
Volume in Å³ per atom: 17.20
DFT formation energy in eV per atom: 0.1628
Offset from the most stable computed form in meV per atom: 64
Space group: No. 123


[4]
Material: Ce3BiAs
Method: DFT, GGA-PBE
State: relaxed

Structure (POSCAR):
```
Ce3BiAs
1.0
-0.995 7.882 2.185
-5.489 5.794 -2.046
-8.489 0.170 8.933
Bi Ce As
4 12 4
Direct
0.723 0.425 0.874
0.277 0.575 0.126
0.425 0.723 0.374
0.575 0.277 0.626
0.761 0.039 0.085
0.818 0.776 0.803
0.458 0.275 0.375
0.275 0.458 0.875
0.182 0.224 0.197
0.239 0.961 0.915
0.725 0.542 0.125
0.224 0.182 0.697
0.542 0.725 0.625
0.961 0.239 0.415
0.039 0.761 0.585
0.776 0.818 0.303
0.900 0.100 0.250
0.000 0.500 0.500
0.100 0.900 0.750
0.500 0.000 0.000
```

Values from the calculation:
Volume in Å³ per atom: 28.85
DFT formation energy in eV per atom: -0.6815
Space group: No. 15


[5]
Material: Re2TcTe
Method: DFT, GGA-PBE
State: relaxed

Structure (POSCAR):
```
Re2TcTe
1.0
-1.691 0.000 -3.761
2.631 -0.605 -1.183
0.906 -5.841 -0.407
Re Te Tc
2 1 1
Direct
0.000 0.920 0.028
0.000 0.580 0.472
0.500 0.750 0.750
0.500 0.250 0.250
```

Values from the calculation:
Volume in Å³ per atom: 16.75
Space group: No. 10
Formation energy from raw total energies in eV per atom: 0.648


[6]
Material: Ca3TlP
Method: DFT, GGA-PBE
State: relaxed

Structure (POSCAR):
```
Ca3TlP
1.0
4.508 0.000 0.000
0.000 8.960 0.002
0.000 0.637 7.501
Ca P Tl
6 2 2
Direct
0.650 0.815 0.548
0.650 0.531 0.224
0.650 0.239 0.909
0.150 0.033 0.255
0.150 0.457 0.616
0.150 0.741 0.940
0.150 0.705 0.328
0.650 0.568 0.836
0.150 0.059 0.713
0.650 0.214 0.450
```

Values from the calculation:
Volume in Å³ per atom: 30.29
DFT formation energy in eV per atom: -0.7138
Offset from the most stable computed form in meV per atom: 6
Space group: No. 11


> Number 6 is which compound?

Ca3TlP


> The lowest volume belongs to which entry?

Re2TcTe